Entry one
Entry from Alexandria: a geometry-optimized BBr2N structure (PBE).

a = 7.591 Å, b = 7.591 Å, c = 7.591 Å
α = 26.78°, β = 26.78°, γ = 26.78°
Each line ends with the local moment (μB).
Fractional coordinates of all 4 atoms:
Br 0.902 0.902 0.902  0.02
Br 0.098 0.098 0.098  0.02
B 0.500 0.500 0.500  0.02
N 0.000 0.000 0.000  0.96

The crystal system is trigonal.



Entry two
Entry from Alexandria: a geometry-optimized BBr2N structure (PBE).

a = 4.707 Å, b = 4.707 Å, c = 4.707 Å
α = 60.00°, β = 60.00°, γ = 60.00°
Each line ends with the local moment (μB).
Fractional coordinates of all 4 atoms:
B 0.000 0.000 0.000  -0.03
Br 0.750 0.750 0.750  -0.11
Br 0.250 0.250 0.250  -0.11
N 0.500 0.500 0.500  1.56

The crystal system is cubic.



Entry three
Entry from Alexandria: a geometry-optimized BBr2N structure (PBE).

a = 7.988 Å, b = 7.988 Å, c = 7.988 Å
α = 28.15°, β = 28.15°, γ = 28.15°
Each line ends with the local moment (μB).
Fractional coordinates of all 4 atoms:
Br 0.921 0.921 0.921  0.02
Br 0.079 0.079 0.079  0.02
B 0.000 0.000 0.000  -0.17
N 0.500 0.500 0.500  1.56

The crystal system is trigonal.



Entry four
Entry from Alexandria: a geometry-optimized BBr2N structure (PBE).

a = 7.131 Å, b = 7.131 Å, c = 7.128 Å
α = 59.98°, β = 59.98°, γ = 90.00°
Each line ends with the local moment (μB).
Fractional coordinates of all 8 atoms:
Br 0.875 0.624 0.750  0.01
Br 0.375 0.626 0.750  0.01
Br 0.376 0.625 0.250  0.01
Br 0.374 0.125 0.250  0.01
N 0.750 0.250 0.500  1.94
N 0.000 0.000 0.000  1.94
B 0.250 0.750 0.500  0.00
B 0.500 0.500 0.000  0.00

The crystal system is tetragonal.



Short version: entry four, entry three, entry one, entry two, most stable first.